No. 1
# Pm3Pd2Au4 (PBE-GGA, relaxed)
# * ΔH_f (0 K): -0.77 eV per atom
# * total DFT energy (no corrections): -178.81 eV for the cell shown
# * magnetization: 0.000 μB/f.u.
# * ΔE to the lowest computed polymorph: 0.000 eV per atom
data_Pm3Pd2Au4
_cell_length_a 11.846
_cell_length_b 9.350
_cell_length_c 7.464
_cell_angle_alpha 90.00
_cell_angle_beta 90.16
_cell_angle_gamma 90.00
_symmetry_space_group_name_H-M 'C 1 2/c 1'
_symmetry_Int_Tables_number 15
loop_
_symmetry_equiv_pos_as_xyz
'x,y,z'
'-x,-y,-z'
'-x,y,-z+1/2'
'x,-y,z+1/2'
'x+1/2,y+1/2,z'
'-x+1/2,-y+1/2,-z'
'-x+1/2,y+1/2,-z+1/2'
'x+1/2,-y+1/2,z+1/2'
loop_
_atom_site_label
_atom_site_fract_x
_atom_site_fract_y
_atom_site_fract_z
_atom_site_occupancy
Pm1 0.000 0.055 0.250 1
Pm2 0.170 0.441 0.751 1
Pd1 0.169 0.144 0.953 1
Au1 0.005 0.351 0.051 1
Au2 0.166 0.147 0.554 1

---

No. 2
# GaTe4Pt (PBE-GGA, relaxed)
# * total DFT energy (no corrections): -46.51 eV for the cell shown
# * magnetization: 0.000 μB/f.u.
# * formation energy without anion corrections: -0.27 eV per atom
# * ΔE to the lowest computed polymorph: 0.000 eV per atom
data_GaTe4Pt
_cell_length_a 13.046
_cell_length_b 4.114
_cell_length_c 7.059
_cell_angle_alpha 90.00
_cell_angle_beta 122.62
_cell_angle_gamma 90.00
_symmetry_space_group_name_H-M 'C 1 2/m 1'
_symmetry_Int_Tables_number 12
loop_
_symmetry_equiv_pos_as_xyz
'x,y,z'
'-x,-y,-z'
'-x,y,-z'
'x,-y,z'
'x+1/2,y+1/2,z'
'-x+1/2,-y+1/2,-z'
'-x+1/2,y+1/2,-z'
'x+1/2,-y+1/2,z'
loop_
_atom_site_label
_atom_site_fract_x
_atom_site_fract_y
_atom_site_fract_z
_atom_site_occupancy
Ga1 0.000 0.000 0.000 1
Te1 0.130 0.000 0.784 1
Te2 0.138 0.500 0.316 1
Pt1 0.000 0.500 0.500 1

---

No. 3
# Dy5Cd4Pb (PBE-GGA, relaxed)
# * ΔH_f (0 K): -0.34 eV per atom
# * total DFT energy (no corrections): -33.81 eV for the cell shown
# * magnetization: 0.000 μB/f.u.
data_Dy5Cd4Pb
_cell_length_a 3.762
_cell_length_b 3.762
_cell_length_c 18.794
_cell_angle_alpha 90.00
_cell_angle_beta 90.00
_cell_angle_gamma 90.00
_symmetry_space_group_name_H-M 'P 4/m m m'
_symmetry_Int_Tables_number 123
_symmetry_space_group_name_Hall '-P 4 2'
loop_
_atom_site_label
_atom_site_fract_x
_atom_site_fract_y
_atom_site_fract_z
_atom_site_occupancy
Dy1 0.000 0.000 0.000 1
Dy2 0.000 0.000 0.197 1
Dy3 0.000 0.000 0.393 1
Cd1 0.500 0.500 0.100 1
Cd2 0.500 0.500 0.293 1
Pb1 0.500 0.500 0.500 1

---

No. 4
# ErTm4Mg5 (PBE-GGA, relaxed)
# * ΔH_f (0 K): -0.06 eV per atom
# * total DFT energy (no corrections): -31.03 eV for the cell shown
# * magnetization: 0.000 μB/f.u.
data_ErTm4Mg5
_cell_length_a 3.761
_cell_length_b 3.761
_cell_length_c 18.720
_cell_angle_alpha 90.00
_cell_angle_beta 90.00
_cell_angle_gamma 90.00
_symmetry_space_group_name_H-M 'P 4/m m m'
_symmetry_Int_Tables_number 123
_symmetry_space_group_name_Hall '-P 4 2'
loop_
_atom_site_label
_atom_site_fract_x
_atom_site_fract_y
_atom_site_fract_z
_atom_site_occupancy
Er1 0.000 0.000 0.000 1
Tm1 0.000 0.000 0.200 1
Tm2 0.000 0.000 0.400 1
Mg1 0.500 0.500 0.101 1
Mg2 0.500 0.500 0.300 1
Mg3 0.500 0.500 0.500 1

---

No. 5
# LiTb4Tm3Se8 (PBE-GGA, relaxed)
# * total DFT energy (no corrections): -268.09 eV for the cell shown
# * magnetization: 0.000 μB/f.u.
# * formation energy without anion corrections: -1.73 eV per atom
data_LiTb4Tm3Se8
_cell_length_a 8.0769
_cell_length_b 8.0769
_cell_length_c 19.8954
_cell_angle_alpha 90.00
_cell_angle_beta 90.00
_cell_angle_gamma 120.00
_symmetry_space_group_name_H-M 'R -3 m'
_symmetry_Int_Tables_number 166
_symmetry_space_group_name_Hall '-R 3 2"'
loop_
_atom_site_label
_atom_site_fract_x
_atom_site_fract_y
_atom_site_fract_z
_atom_site_occupancy
Li1 0.0000 0.0000 0.0000 1
Tb1 0.0000 0.0000 0.5000 1
Tb2 0.0000 0.5000 0.5000 1
Tm1 0.0000 0.5000 0.0000 1
Se1 0.0000 0.0000 0.2524 1
Se2 0.0058 0.5029 0.7461 1

---

No. 6
# Rb2TlCdAu (PBE-GGA, relaxed)
# * ΔH_f (0 K): 0.00 eV per atom
# * total DFT energy (no corrections): -8.49 eV for the cell shown
# * magnetization: 0.000 μB/f.u.
# * ΔE to the lowest computed polymorph: 0.000 eV per atom
data_Rb2TlCdAu
_cell_length_a 6.525
_cell_length_b 6.525
_cell_length_c 5.402
_cell_angle_alpha 90.00
_cell_angle_beta 90.00
_cell_angle_gamma 90.00
_symmetry_space_group_name_H-M 'P 4/m m m'
_symmetry_Int_Tables_number 123
_symmetry_space_group_name_Hall '-P 4 2'
loop_
_atom_site_label
_atom_site_fract_x
_atom_site_fract_y
_atom_site_fract_z
_atom_site_occupancy
Rb1 0.000 0.500 0.000 1
Tl1 0.000 0.000 0.500 1
Cd1 0.500 0.500 0.500 1
Au1 0.500 0.500 0.000 1

---

No. 7
# ZrScIn (PBE-GGA, relaxed)
# * ΔH_f (0 K): -0.30 eV per atom
# * total DFT energy (no corrections): -37.06 eV for the cell shown
# * magnetization: 0.701 μB/f.u.
# * ΔE to the lowest computed polymorph: 0.000 eV per atom
data_ZrScIn
_cell_length_a 5.0545
_cell_length_b 5.0545
_cell_length_c 6.1503
_cell_angle_alpha 90.00
_cell_angle_beta 90.00
_cell_angle_gamma 120.00
_symmetry_space_group_name_H-M 'P 63/m m c'
_symmetry_Int_Tables_number 194
_symmetry_space_group_name_Hall '-P 6c 2c'
loop_
_atom_site_label
_atom_site_fract_x
_atom_site_fract_y
_atom_site_fract_z
_atom_site_occupancy
Zr1 0.0000 0.0000 0.0000 1
Sc1 0.3333 0.6667 0.2500 1
In1 0.3333 0.6667 0.7500 1

---

No. 8
# Li2NpBiSe4 (PBE-GGA, relaxed)
# * total DFT energy (no corrections): -42.11 eV for the cell shown
# * magnetization: 4.003 μB/f.u.
# * formation energy without anion corrections: -0.94 eV per atom
data_Li2NpBiSe4
_cell_length_a 6.973
_cell_length_b 4.152
_cell_length_c 7.187
_cell_angle_alpha 90.00
_cell_angle_beta 110.37
_cell_angle_gamma 90.00
_symmetry_space_group_name_H-M 'P 1 2/m 1'
_symmetry_Int_Tables_number 10
loop_
_symmetry_equiv_pos_as_xyz
'x,y,z'
'-x,-y,-z'
'-x,y,-z'
'x,-y,z'
loop_
_atom_site_label
_atom_site_fract_x
_atom_site_fract_y
_atom_site_fract_z
_atom_site_occupancy
Li1 0.000 0.000 0.000 1
Li2 0.000 0.500 0.500 1
Np1 0.500 0.000 0.500 1
Bi1 0.500 0.500 0.000 1
Se1 0.236 0.000 0.741 1
Se2 0.242 0.500 0.252 1

---

No. 9
# ErScTeC (PBE-GGA, relaxed)
# * total DFT energy (no corrections): -79.56 eV for the cell shown
# * magnetization: 0.000 μB/f.u.
# * formation energy without anion corrections: -0.81 eV per atom
data_ErScTeC
_cell_length_a 3.6478
_cell_length_b 3.6478
_cell_length_c 20.7560
_cell_angle_alpha 90.00
_cell_angle_beta 90.00
_cell_angle_gamma 120.00
_symmetry_space_group_name_H-M 'R 3 m'
_symmetry_Int_Tables_number 160
_symmetry_space_group_name_Hall 'R 3 -2"'
loop_
_atom_site_label
_atom_site_fract_x
_atom_site_fract_y
_atom_site_fract_z
_atom_site_occupancy
Er1 0.0000 0.0000 0.0000 1
Sc1 0.0000 0.0000 0.7865 1
Te1 0.0000 0.0000 0.2215 1
C1 0.0000 0.0000 0.3970 1

---

No. 10
# Ce2Tc5C4 (PBE-GGA, relaxed)
# * ΔH_f (0 K): -0.04 eV per atom
# * total DFT energy (no corrections): -403.97 eV for the cell shown
# * magnetization: 0.001 μB/f.u.
data_Ce2Tc5C4
_cell_length_a 5.416
_cell_length_b 10.071
_cell_length_c 11.065
_cell_angle_alpha 90.00
_cell_angle_beta 90.00
_cell_angle_gamma 90.00
_symmetry_space_group_name_H-M 'F m m m'
_symmetry_Int_Tables_number 69
_symmetry_space_group_name_Hall '-F 2 2'
loop_
_atom_site_label
_atom_site_fract_x
_atom_site_fract_y
_atom_site_fract_z
_atom_site_occupancy
Ce1 0.000 0.000 0.145 1
Tc1 0.000 0.000 0.500 1
Tc2 0.250 0.250 0.000 1
Tc3 0.250 0.250 0.250 1
C1 0.000 0.158 0.366 1

---

No. 11
# Li5SiAu4 (PBE-GGA, relaxed)
# * total DFT energy (no corrections): -65.26 eV for the cell shown
# * magnetization: 0.000 μB/f.u.
# * formation energy without anion corrections: -0.45 eV per atom
data_Li5SiAu4
_cell_length_a 13.169
_cell_length_b 4.384
_cell_length_c 5.446
_cell_angle_alpha 90.00
_cell_angle_beta 106.65
_cell_angle_gamma 90.00
_symmetry_space_group_name_H-M 'C 1 2/m 1'
_symmetry_Int_Tables_number 12
loop_
_symmetry_equiv_pos_as_xyz
'x,y,z'
'-x,-y,-z'
'-x,y,-z'
'x,-y,z'
'x+1/2,y+1/2,z'
'-x+1/2,-y+1/2,-z'
'-x+1/2,y+1/2,-z'
'x+1/2,-y+1/2,z'
loop_
_atom_site_label
_atom_site_fract_x
_atom_site_fract_y
_atom_site_fract_z
_atom_site_occupancy
Li1 0.000 0.000 0.000 1
Li2 0.106 0.500 0.883 1
Li3 0.204 0.000 0.312 1
Si1 0.000 0.000 0.500 1
Au1 0.092 0.500 0.365 1
Au2 0.199 0.000 0.804 1

---

No. 12
# BeCu3Re (PBE-GGA, relaxed)
# * ΔH_f (0 K): 1.90 eV per atom
# * total DFT energy (no corrections): -18.96 eV for the cell shown
# * magnetization: 1.186 μB/f.u.
# * ΔE to the lowest computed polymorph: 1.140 eV per atom
data_BeCu3Re
_cell_length_a 4.645
_cell_length_b 4.645
_cell_length_c 4.645
_cell_angle_alpha 90.00
_cell_angle_beta 90.00
_cell_angle_gamma 90.00
_symmetry_space_group_name_H-M 'P m -3 m'
_symmetry_Int_Tables_number 221
_symmetry_space_group_name_Hall '-P 4 2 3'
loop_
_atom_site_label
_atom_site_fract_x
_atom_site_fract_y
_atom_site_fract_z
_atom_site_occupancy
Be1 0.000 0.000 0.000 1
Cu1 0.000 0.500 0.500 1
Re1 0.500 0.500 0.500 1

---

No. 13
# RbLiGa2Br4 (PBE-GGA, relaxed)
# * total DFT energy (no corrections): -95.01 eV for the cell shown
# * magnetization: 0.000 μB/f.u.
# * formation energy without anion corrections: -1.02 eV per atom
data_RbLiGa2Br4
_cell_length_a 12.826
_cell_length_b 12.845
_cell_length_c 9.067
_cell_angle_alpha 90.00
_cell_angle_beta 134.91
_cell_angle_gamma 90.00
_symmetry_space_group_name_H-M 'C 1 2/c 1'
_symmetry_Int_Tables_number 15
loop_
_symmetry_equiv_pos_as_xyz
'x,y,z'
'-x,-y,-z'
'-x,y,-z+1/2'
'x,-y,z+1/2'
'x+1/2,y+1/2,z'
'-x+1/2,-y+1/2,-z'
'-x+1/2,y+1/2,-z+1/2'
'x+1/2,-y+1/2,z+1/2'
loop_
_atom_site_label
_atom_site_fract_x
_atom_site_fract_y
_atom_site_fract_z
_atom_site_occupancy
Rb1 0.250 0.250 0.000 1
Li1 0.000 0.000 0.000 1
Ga1 0.000 0.500 0.000 1
Ga2 0.250 0.250 0.500 1
Br1 0.000 0.204 0.016 1
Br2 0.240 0.492 0.489 1

---

No. 14
# Bi2OsF (PBE-GGA, relaxed)
# * total DFT energy (no corrections): -85.38 eV for the cell shown
# * magnetization: 0.000 μB/f.u.
# * formation energy without anion corrections: -0.12 eV per atom
# * ΔE to the lowest computed polymorph: 0.000 eV per atom
data_Bi2OsF
_cell_length_a 6.726
_cell_length_b 6.726
_cell_length_c 6.726
_cell_angle_alpha 90.00
_cell_angle_beta 90.00
_cell_angle_gamma 90.00
_symmetry_space_group_name_H-M 'F m -3 m'
_symmetry_Int_Tables_number 225
_symmetry_space_group_name_Hall '-F 4 2 3'
loop_
_atom_site_label
_atom_site_fract_x
_atom_site_fract_y
_atom_site_fract_z
_atom_site_occupancy
Bi1 0.250 0.250 0.250 1
Os1 0.000 0.000 0.000 1
F1 0.000 0.000 0.500 1

---

No. 15
# Li2YC2 (PBE-GGA, relaxed)
# * ΔH_f (0 K): 0.04 eV per atom
# * total DFT energy (no corrections): -57.09 eV for the cell shown
# * magnetization: 0.000 μB/f.u.
# * ΔE to the lowest computed polymorph: 0.000 eV per atom
data_Li2YC2
_cell_length_a 3.515
_cell_length_b 3.515
_cell_length_c 9.161
_cell_angle_alpha 90.00
_cell_angle_beta 90.00
_cell_angle_gamma 90.00
_symmetry_space_group_name_H-M 'I 4/m m m'
_symmetry_Int_Tables_number 139
_symmetry_space_group_name_Hall '-I 4 2'
loop_
_atom_site_label
_atom_site_fract_x
_atom_site_fract_y
_atom_site_fract_z
_atom_site_occupancy
Li1 0.000 0.500 0.250 1
Y1 0.000 0.000 0.000 1
C1 0.000 0.000 0.418 1

---

No. 16
# CsGa12Au6 (PBE-GGA, relaxed)
# * ΔH_f (0 K): -0.16 eV per atom
# * total DFT energy (no corrections): -179.71 eV for the cell shown
# * magnetization: 0.000 μB/f.u.
data_CsGa12Au6
_cell_length_a 12.1914
_cell_length_b 12.1914
_cell_length_c 9.2491
_cell_angle_alpha 90.00
_cell_angle_beta 90.00
_cell_angle_gamma 120.00
_symmetry_space_group_name_H-M 'R -3 m'
_symmetry_Int_Tables_number 166
_symmetry_space_group_name_Hall '-R 3 2"'
loop_
_atom_site_label
_atom_site_fract_x
_atom_site_fract_y
_atom_site_fract_z
_atom_site_occupancy
Cs1 0.0000 0.0000 0.0000 1
Ga1 0.0000 0.3845 0.5000 1
Ga2 0.0840 0.1679 0.3311 1
Au1 0.0338 0.5169 0.2497 1

---

No. 17
# Ca3AcRu (PBE-GGA, relaxed)
# * ΔH_f (0 K): 0.05 eV per atom
# * total DFT energy (no corrections): -76.48 eV for the cell shown
# * magnetization: 0.000 μB/f.u.
data_Ca3AcRu
_cell_length_a 4.091
_cell_length_b 24.076
_cell_length_c 7.631
_cell_angle_alpha 90.00
_cell_angle_beta 90.00
_cell_angle_gamma 90.00
_symmetry_space_group_name_H-M 'A m a 2'
_symmetry_Int_Tables_number 40
loop_
_symmetry_equiv_pos_as_xyz
'x,y,z'
'-x,-y,z'
'-x+1/2,y,z'
'x+1/2,-y,z'
'x,y+1/2,z+1/2'
'-x,-y+1/2,z+1/2'
'-x+1/2,y+1/2,z+1/2'
'x+1/2,-y+1/2,z+1/2'
loop_
_atom_site_label
_atom_site_fract_x
_atom_site_fract_y
_atom_site_fract_z
_atom_site_occupancy
Ca1 0.250 0.064 0.000 1
Ca2 0.250 0.302 0.772 1
Ca3 0.250 0.330 0.281 1
Ac1 0.250 0.070 0.502 1
Ru1 0.250 0.457 0.234 1

---

No. 18
# CeHoPd2 (PBE-GGA, relaxed)
# * ΔH_f (0 K): -0.80 eV per atom
# * total DFT energy (no corrections): -48.23 eV for the cell shown
# * magnetization: 0.762 μB/f.u.
data_CeHoPd2
_cell_length_a 4.601
_cell_length_b 3.727
_cell_length_c 10.678
_cell_angle_alpha 90.00
_cell_angle_beta 90.00
_cell_angle_gamma 90.00
_symmetry_space_group_name_H-M 'A m m 2'
_symmetry_Int_Tables_number 38
loop_
_symmetry_equiv_pos_as_xyz
'x,y,z'
'-x,-y,z'
'-x,y,z'
'x,-y,z'
'x,y+1/2,z+1/2'
'-x,-y+1/2,z+1/2'
'-x,y+1/2,z+1/2'
'x,-y+1/2,z+1/2'
loop_
_atom_site_label
_atom_site_fract_x
_atom_site_fract_y
_atom_site_fract_z
_atom_site_occupancy
Ce1 0.000 0.000 0.000 1
Ho1 0.500 0.000 0.274 1
Pd1 0.000 0.000 0.726 1
Pd2 0.500 0.000 0.549 1

---

No. 19
# RbCdAgAs (PBE-GGA, relaxed)
# * ΔH_f (0 K): -0.13 eV per atom
# * total DFT energy (no corrections): -19.79 eV for the cell shown
# * magnetization: 0.000 μB/f.u.
data_RbCdAgAs
_cell_length_a 4.279
_cell_length_b 4.279
_cell_length_c 13.429
_cell_angle_alpha 90.00
_cell_angle_beta 90.00
_cell_angle_gamma 90.00
_symmetry_space_group_name_H-M 'P 4/n m m'
_symmetry_Int_Tables_number 129
loop_
_symmetry_equiv_pos_as_xyz
'x,y,z'
'-x,-y,-z'
'-y+1/2,x,z'
'y+1/2,-x,-z'
'-x+1/2,-y+1/2,z'
'x+1/2,y+1/2,-z'
'y,-x+1/2,z'
'-y,x+1/2,-z'
'x+1/2,-y,-z'
'-x+1/2,y,z'
'-y,-x,-z'
'y,x,z'
'-x,y+1/2,-z'
'x,-y+1/2,z'
'y+1/2,x+1/2,-z'
'-y+1/2,-x+1/2,z'
loop_
_atom_site_label
_atom_site_fract_x
_atom_site_fract_y
_atom_site_fract_z
_atom_site_occupancy
Rb1 0.250 0.250 0.236 1
Cd1 0.250 0.750 0.500 1
Ag1 0.250 0.750 0.000 1
As1 0.250 0.250 0.631 1